The following is a PBE with a Hubbard U calculation of crystalline Be2NiF at its relaxed geometry, from the Alexandria database.

It has space group I-42d (No. 122), with a = 5.2369 Å, b = 5.2369 Å, c = 5.4531 Å, α = 90.00°, β = 90.00° and γ = 90.00°. The asymmetric unit holds Be at (0.1944, 0.2500, 0.1250), Ni at (0.0000, 0.0000, 0.5000) and F at (0.0000, 0.0000, 0.0000).

The value obtained for the total energy is -3.1479 eV/atom. As for the relative energy among the computed polymorphs: 0.000 eV per atom.